1.
# InGeTe3Au

An optimized crystal structure of InGeTe3Au (PBE, the Open Quantum Materials Database).

- VASP energy (eV per atom) = -3.439

a b c (Å): 12.546 4.171 13.017
angles (deg): 90.00 90.00 90.00
Space group Pnma (No. 62)
One atom of each set of equivalent atoms:
In: 0.245 0.250 0.022 (multiplicity 4)
Ge: 0.055 0.250 0.750 (multiplicity 4)
Te: 0.003 0.750 0.611 (multiplicity 4)
Te: 0.081 0.750 0.922 (multiplicity 4)
Te: 0.231 0.750 0.199 (multiplicity 4)
Au: 0.209 0.250 0.366 (multiplicity 4)

=====

2.
# InGeTe4Au3

An optimized crystal structure of InGeTe4Au3 (PBE, the Open Quantum Materials Database).

- VASP energy (eV per atom) = -3.322

a b c (Å): 6.890 7.904 10.646
angles (deg): 90.00 106.83 90.00
Space group P2_1/m (No. 11)
One atom of each set of equivalent atoms:
In: 0.184 0.250 0.428 (multiplicity 2)
Ge: 0.116 0.250 0.797 (multiplicity 2)
Te: 0.024 0.250 0.035 (multiplicity 2)
Te: 0.175 0.750 0.428 (multiplicity 2)
Te: 0.331 0.524 0.767 (multiplicity 4)
Au: 0.317 0.560 0.059 (multiplicity 4)
Au: 0.494 0.750 0.332 (multiplicity 2)

=====

3.
# InGeTe4Au3

An optimized crystal structure of InGeTe4Au3 (PBE, the Open Quantum Materials Database).

- VASP energy (eV per atom) = -3.312

a b c (Å): 6.571 6.571 6.571
angles (deg): 90.00 90.00 90.00
Space group P-43m (No. 215)
One atom of each set of equivalent atoms:
In: 0.000 0.000 0.000 (multiplicity 1)
Ge: 0.500 0.500 0.500 (multiplicity 1)
Te: 0.251 0.251 0.251 (multiplicity 4)
Au: 0.000 0.500 0.500 (multiplicity 3)

=====

4.
# GeIr2Au

An optimized crystal structure of GeIr2Au (PBE, the Open Quantum Materials Database).

- magnetization (μB per cell) = 0.126
- VASP energy (eV per atom) = -5.976

a b c (Å): 6.347 6.347 6.347
angles (deg): 90.00 90.00 90.00
Space group F-43m (No. 216)
One atom of each set of equivalent atoms:
Ge: 0.000 0.000 0.000 (multiplicity 4)
Ir: 0.000 0.000 0.500 (multiplicity 4)
Ir: 0.250 0.250 0.750 (multiplicity 4)
Au: 0.250 0.250 0.250 (multiplicity 4)

=====

5.
# Ge2IrAu

An optimized crystal structure of Ge2IrAu (PBE, the Open Quantum Materials Database).

- magnetization (μB per cell) = 0.030
- VASP energy (eV per atom) = -4.976

a b c (Å): 6.499 6.499 6.499
angles (deg): 90.00 90.00 90.00
Space group F-43m (No. 216)
One atom of each set of equivalent atoms:
Ge: 0.000 0.000 0.000 (multiplicity 4)
Ge: 0.250 0.250 0.250 (multiplicity 4)
Ir: 0.250 0.250 0.750 (multiplicity 4)
Au: 0.000 0.000 0.500 (multiplicity 4)

=====

6.
# GeIrAu

An optimized crystal structure of GeIrAu (PBE, the Open Quantum Materials Database).

- magnetization (μB per cell) = 0.005
- VASP energy (eV per atom) = -5.479

a b c (Å): 5.944 5.944 5.944
angles (deg): 90.00 90.00 90.00
Space group F-43m (No. 216)
One atom of each set of equivalent atoms:
Ge: 0.000 0.000 0.000 (multiplicity 4)
Ir: 0.250 0.250 0.250 (multiplicity 4)
Au: 0.250 0.250 0.750 (multiplicity 4)

=====

7.
# LaGe2IrAu

An optimized crystal structure of LaGe2IrAu (PBE, the Open Quantum Materials Database).

- magnetization (μB per cell) = 0.007
- VASP energy (eV per atom) = -6.004

a b c (Å): 4.447 4.447 10.215
angles (deg): 90.00 90.00 90.00
Space group P4/nmm (No. 129, origin choice 2)
One atom of each set of equivalent atoms:
La: 0.250 0.250 0.241 (multiplicity 2)
Ge: 0.250 0.250 0.648 (multiplicity 2)
Ge: 0.250 0.750 0.000 (multiplicity 2)
Ir: 0.250 0.250 0.885 (multiplicity 2)
Au: 0.250 0.750 0.500 (multiplicity 2)

=====

8.
# Li4Ge2IrAu

An optimized crystal structure of Li4Ge2IrAu (PBE, the Open Quantum Materials Database).

- magnetization (μB per cell) = 0.003
- VASP energy (eV per atom) = -4.090

a b c (Å): 4.299 4.299 6.103
angles (deg): 90.00 90.00 90.00
Space group P-4m2 (No. 115)
One atom of each set of equivalent atoms:
Li: 0.000 0.000 0.000 (multiplicity 1)
Li: 0.000 0.500 0.750 (multiplicity 2)
Li: 0.500 0.500 0.500 (multiplicity 1)
Ge: 0.000 0.500 0.221 (multiplicity 2)
Ir: 0.500 0.500 0.000 (multiplicity 1)
Au: 0.000 0.000 0.500 (multiplicity 1)

=====

9.
# Na4Ge2IrAu

An optimized crystal structure of Na4Ge2IrAu (PBE, the Open Quantum Materials Database).

- magnetization (μB per cell) = 0.007
- VASP energy (eV per atom) = -3.359

a b c (Å): 4.709 4.709 6.806
angles (deg): 90.00 90.00 90.00
Space group P-4m2 (No. 115)
One atom of each set of equivalent atoms:
Na: 0.000 0.000 0.000 (multiplicity 1)
Na: 0.000 0.500 0.744 (multiplicity 2)
Na: 0.500 0.500 0.500 (multiplicity 1)
Ge: 0.000 0.500 0.203 (multiplicity 2)
Ir: 0.500 0.500 0.000 (multiplicity 1)
Au: 0.000 0.000 0.500 (multiplicity 1)

=====

10.
# NdGe2IrAu

An optimized crystal structure of NdGe2IrAu (PBE, the Open Quantum Materials Database).

- magnetization (μB per cell) = 0.015
- VASP energy (eV per atom) = -5.926

a b c (Å): 4.414 4.414 10.168
angles (deg): 90.00 90.00 90.00
Space group P4/nmm (No. 129, origin choice 2)
One atom of each set of equivalent atoms:
Nd: 0.250 0.250 0.241 (multiplicity 2)
Ge: 0.250 0.250 0.649 (multiplicity 2)
Ge: 0.250 0.750 0.000 (multiplicity 2)
Ir: 0.250 0.250 0.885 (multiplicity 2)
Au: 0.250 0.750 0.500 (multiplicity 2)

=====

11.
# GeIrAuS3

An optimized crystal structure of GeIrAuS3 (PBE, the Open Quantum Materials Database).

- magnetization (μB per cell) = 0.015
- VASP energy (eV per atom) = -5.085

a b c (Å): 3.585 14.638 8.972
angles (deg): 90.00 90.00 90.00
Space group Cmcm (No. 63)
One atom of each set of equivalent atoms:
Ge: 0.000 0.167 0.250 (multiplicity 4)
Ir: 0.000 0.500 0.000 (multiplicity 4)
Au: 0.000 0.200 0.750 (multiplicity 4)
S: 0.000 0.107 0.521 (multiplicity 8)
S: 0.000 0.450 0.750 (multiplicity 4)

=====

12.
# SmGe2IrAu

An optimized crystal structure of SmGe2IrAu (PBE, the Open Quantum Materials Database).

- magnetization (μB per cell) = 0.014
- VASP energy (eV per atom) = -5.901

a b c (Å): 4.404 4.404 10.151
angles (deg): 90.00 90.00 90.00
Space group P4/nmm (No. 129, origin choice 2)
One atom of each set of equivalent atoms:
Sm: 0.250 0.250 0.241 (multiplicity 2)
Ge: 0.250 0.250 0.649 (multiplicity 2)
Ge: 0.250 0.750 0.000 (multiplicity 2)
Ir: 0.250 0.250 0.885 (multiplicity 2)
Au: 0.250 0.750 0.500 (multiplicity 2)

=====

> VASP energy of number 1 (InGeTe3Au)?

-3.439 eV per atom